The following is a DFT calculation (PBE) of a geometry-optimized Pa3Ir2Pt2 structure.

Lattice parameters (Å, degrees): 8.416 8.416 8.416 90.00 90.00 90.00
Space group I2_13 (No. 199)
Asymmetric unit:
Pa: 0.000 0.250 0.891 (multiplicity 12)
Ir: 0.177 0.177 0.177 (multiplicity 8)
Pt: 0.088 0.412 0.588 (multiplicity 8)

Calculated values
The calculation puts the energy relative to the elements at -0.906 eV per atom.

=====

The following is a DFT calculation (PBE) of a geometry-optimized Pa2IrPt structure.

Lattice parameters (Å, degrees): 3.480 3.480 6.991 90.00 90.00 90.00
Space group P4/mmm (No. 123)
Asymmetric unit:
Pa: 0.000 0.000 0.241 (multiplicity 2)
Ir: 0.500 0.500 0.000 (multiplicity 1)
Pt: 0.500 0.500 0.500 (multiplicity 1)

Calculated values
The calculation puts the energy relative to the elements at -0.688 eV per atom. The value obtained for the energy relative to the lowest polymorph listed for this composition is 0.0 meV/atom.

=====

The following is a DFT calculation (PBE) of a geometry-optimized Pa6Ir5Pt structure.

Lattice parameters (Å, degrees): 4.478 15.363 7.274 90.00 90.17 90.00
Space group C2/m (No. 12)
Asymmetric unit:
Pa: 0.000 0.000 0.245 (multiplicity 4)
Pa: 0.000 0.313 0.249 (multiplicity 8)
Ir: 0.000 0.143 0.500 (multiplicity 4)
Ir: 0.000 0.144 0.000 (multiplicity 4)
Ir: 0.000 0.500 0.000 (multiplicity 2)
Pt: 0.000 0.500 0.500 (multiplicity 2)

Calculated values
The calculation puts the energy relative to the elements at -0.705 eV per atom.

=====

The following is a DFT calculation (PBE) of a geometry-optimized Pa3Ir2Pt structure.

Lattice parameters (Å, degrees): 11.410 6.287 7.379 90.00 104.39 90.00
Space group C2/c (No. 15)
Asymmetric unit:
Pa: 0.000 0.099 0.250 (multiplicity 4)
Pa: 0.171 0.399 0.089 (multiplicity 8)
Ir: 0.166 0.124 0.581 (multiplicity 8)
Pt: 0.000 0.377 0.750 (multiplicity 4)

Calculated values
The calculation puts the energy relative to the elements at -0.846 eV per atom.

=====

The following is a DFT calculation (PBE) of a geometry-optimized Pa8IrPt5 structure.

Lattice parameters (Å, degrees): 8.564 8.564 8.826 90.00 90.00 90.00
Space group I-4 (No. 82)
Asymmetric unit:
Pa: 0.047 0.167 0.315 (multiplicity 8)
Pa: 0.082 0.305 0.946 (multiplicity 8)
Ir: 0.000 0.000 0.000 (multiplicity 2)
Pt: 0.000 0.500 0.250 (multiplicity 2)
Pt: 0.122 0.271 0.623 (multiplicity 8)

Calculated values
The calculation puts the energy relative to the elements at -0.681 eV per atom.

=====

The following is a DFT calculation (PBE) of a geometry-optimized Pa2IrPt structure.

Lattice parameters (Å, degrees): 3.0699 3.0699 30.6628 90.00 90.00 120.00
Space group R-3m (No. 166, hexagonal axes)
Asymmetric unit:
Pa: 0.0000 0.0000 0.0890 (multiplicity 6)
Ir: 0.0000 0.0000 0.5000 (multiplicity 3)
Pt: 0.0000 0.0000 0.0000 (multiplicity 3)

Calculated values
The calculation puts the energy relative to the elements at -0.100 eV per atom. The value obtained for the energy relative to the lowest polymorph listed for this composition is 588.2 meV/atom.

=====

The following is a DFT calculation (PBE) of a geometry-optimized PaIr2Pt structure.

Lattice parameters (Å, degrees): 4.161 4.161 4.015 90.00 90.00 90.00
Space group P4/mmm (No. 123)
Asymmetric unit:
Pa: 0.000 0.000 0.000 (multiplicity 1)
Ir: 0.000 0.500 0.500 (multiplicity 2)
Pt: 0.500 0.500 0.000 (multiplicity 1)

Calculated values
The calculation puts the energy relative to the elements at -0.888 eV per atom. The value obtained for the energy relative to the lowest polymorph listed for this composition is 0.0 meV/atom.

=====

The following is a DFT calculation (PBE) of a geometry-optimized PaIr2Pt structure.

Lattice parameters (Å, degrees): 4.6131 4.6131 12.6333 90.00 90.00 120.00
Space group R-3m (No. 166, hexagonal axes)
Asymmetric unit:
Pa: 0.0000 0.0000 0.0000 (multiplicity 3)
Ir: 0.0000 0.0000 0.2029 (multiplicity 6)
Pt: 0.0000 0.0000 0.5000 (multiplicity 3)

Calculated values
The calculation puts the energy relative to the elements at -0.546 eV per atom. The value obtained for the energy relative to the lowest polymorph listed for this composition is 341.6 meV/atom.

=====

The following is a DFT calculation (PBE) of a geometry-optimized Pa2Ir3Pt3 structure.

Lattice parameters (Å, degrees): 4.125 4.206 8.094 90.00 90.00 90.00
Space group Pmmm (No. 47)
Asymmetric unit:
Pa: 0.000 0.000 0.246 (multiplicity 2)
Ir: 0.000 0.500 0.000 (multiplicity 1)
Ir: 0.500 0.000 0.000 (multiplicity 1)
Ir: 0.500 0.000 0.500 (multiplicity 1)
Pt: 0.000 0.500 0.500 (multiplicity 1)
Pt: 0.500 0.500 0.249 (multiplicity 2)

Calculated values
The calculation puts the energy relative to the elements at -0.933 eV per atom.

=====

The following is a DFT calculation (PBE) of a geometry-optimized PaIrRuPt structure.

Lattice parameters (Å, degrees): 3.964 4.097 4.217 90.00 90.00 90.00
Space group Pmmm (No. 47)
Asymmetric unit:
Pa: 0.000 0.000 0.000 (multiplicity 1)
Ir: 0.500 0.000 0.500 (multiplicity 1)
Ru: 0.500 0.500 0.000 (multiplicity 1)
Pt: 0.000 0.500 0.500 (multiplicity 1)

Calculated values
The calculation puts the energy relative to the elements at -0.815 eV per atom.

=====

The following is a DFT calculation (PBE) of a geometry-optimized ScPaIrPt structure.

Lattice parameters (Å, degrees): 6.810 6.810 6.810 90.00 90.00 90.00
Space group F-43m (No. 216)
Asymmetric unit:
Sc: 0.000 0.000 0.000 (multiplicity 4)
Pa: 0.000 0.000 0.500 (multiplicity 4)
Ir: 0.250 0.250 0.750 (multiplicity 4)
Pt: 0.250 0.250 0.250 (multiplicity 4)

Calculated values
The calculation puts the energy relative to the elements at -0.840 eV per atom.

=====

The following is a DFT calculation (PBE) of a geometry-optimized PaSi2Ir2Pt structure.

Lattice parameters (Å, degrees): 4.506 4.506 5.477 90.00 90.00 90.00
Space group P4/mmm (No. 123)
Asymmetric unit:
Pa: 0.000 0.000 0.000 (multiplicity 1)
Si: 0.000 0.500 0.500 (multiplicity 2)
Ir: 0.500 0.500 0.240 (multiplicity 2)
Pt: 0.000 0.000 0.500 (multiplicity 1)

Calculated values
For the formation energy (no corrections), the calculation gives -82 kJ/mol of formula units.

=====

The following is a DFT calculation (PBE) of a geometry-optimized PaSiIrPt structure.

Lattice parameters (Å, degrees): 3.958 3.958 9.395 90.00 90.00 90.00
Space group P4/nmm (No. 129, origin choice 2)
Asymmetric unit:
Pa: 0.250 0.250 0.224 (multiplicity 2)
Si: 0.250 0.250 0.644 (multiplicity 2)
Ir: 0.250 0.750 0.500 (multiplicity 2)
Pt: 0.250 0.250 0.905 (multiplicity 2)

Calculated values
For the formation energy (no corrections), the calculation gives -369 kJ/mol of formula units.

=====

The following is a DFT calculation (PBE) of a geometry-optimized ThPaIrPt structure.

Lattice parameters (Å, degrees): 4.020 4.232 5.736 90.00 90.00 90.00
Space group Pmmm (No. 47)
Asymmetric unit:
Th: 0.000 0.000 0.000 (multiplicity 1)
Pa: 0.500 0.500 0.500 (multiplicity 1)
Ir: 0.500 0.500 0.000 (multiplicity 1)
Pt: 0.000 0.000 0.500 (multiplicity 1)

Calculated values
The calculation puts the energy relative to the elements at -0.935 eV per atom.

=====

The following is a DFT calculation (PBE) of a geometry-optimized UPaIrPt structure.

Lattice parameters (Å, degrees): 6.690 6.690 6.690 90.00 90.00 90.00
Space group F-43m (No. 216)
Asymmetric unit:
U: 0.000 0.000 0.000 (multiplicity 4)
Pa: 0.250 0.250 0.750 (multiplicity 4)
Ir: 0.250 0.250 0.250 (multiplicity 4)
Pt: 0.000 0.000 0.500 (multiplicity 4)

Calculated values
The calculation puts the energy relative to the elements at -0.706 eV per atom.

=====

The following is a DFT calculation (PBE) of a geometry-optimized YPaIrPt structure.

Lattice parameters (Å, degrees): 6.972 6.972 6.972 90.00 90.00 90.00
Space group F-43m (No. 216)
Asymmetric unit:
Y: 0.000 0.000 0.000 (multiplicity 4)
Pa: 0.000 0.000 0.500 (multiplicity 4)
Ir: 0.250 0.250 0.750 (multiplicity 4)
Pt: 0.250 0.250 0.250 (multiplicity 4)

Calculated values
The calculation puts the energy relative to the elements at -0.802 eV per atom. The value obtained for the energy relative to the lowest polymorph listed for this composition is 256.4 meV/atom.

=====

The following is a DFT calculation (PBE) of a geometry-optimized YPaIrPt structure.

Lattice parameters (Å, degrees): 4.192 3.734 11.256 90.00 90.00 90.00
Space group Amm2 (No. 38)
Asymmetric unit:
Y: 0.000 0.000 0.000 (multiplicity 2)
Pa: 0.500 0.000 0.276 (multiplicity 2)
Ir: 0.000 0.000 0.744 (multiplicity 2)
Pt: 0.500 0.000 0.558 (multiplicity 2)

Calculated values
The calculation puts the energy relative to the elements at -1.058 eV per atom. The value obtained for the energy relative to the lowest polymorph listed for this composition is 0.0 meV/atom.

=====

The following is a DFT calculation (PBE) of a geometry-optimized ZrPa2Ir5Pt structure.

Lattice parameters (Å, degrees): 8.096 8.096 10.830 90.00 90.00 90.00
Space group I4/mcm (No. 140)
Asymmetric unit:
Zr: 0.000 0.000 0.250 (multiplicity 4)
Pa: 0.127 0.373 0.000 (multiplicity 8)
Ir: 0.000 0.000 0.000 (multiplicity 4)
Ir: 0.201 0.299 0.362 (multiplicity 16)
Pt: 0.000 0.500 0.250 (multiplicity 4)

Calculated values
The calculation puts the energy relative to the elements at -0.201 eV per atom.

=====

The following is a DFT calculation (PBE) of a geometry-optimized PuPaIr4 structure.

Lattice parameters (Å, degrees): 7.578 7.578 7.578 90.00 90.00 90.00
Space group F-43m (No. 216)
Asymmetric unit:
Pu: 0.000 0.000 0.000 (multiplicity 4)
Pa: 0.250 0.250 0.250 (multiplicity 4)
Ir: 0.125 0.125 0.625 (multiplicity 16)

Calculated values
The calculation puts the energy relative to the elements at -0.687 eV per atom.

=====

The following is a DFT calculation (PBE) of a geometry-optimized Pu5PaIr5 structure.

Lattice parameters (Å, degrees): 12.680 5.589 7.854 90.00 107.60 90.00
Space group C2/m (No. 12)
Asymmetric unit:
Pu: 0.000 0.000 0.000 (multiplicity 2)
Pu: 0.164 0.500 0.833 (multiplicity 4)
Pu: 0.173 0.500 0.342 (multiplicity 4)
Pa: 0.000 0.000 0.500 (multiplicity 2)
Ir: 0.000 0.500 0.500 (multiplicity 2)
Ir: 0.158 0.000 0.323 (multiplicity 4)
Ir: 0.166 0.000 0.837 (multiplicity 4)

Calculated values
The calculation puts the energy relative to the elements at -0.431 eV per atom.